No. 1
This record from Alexandria describes an optimized crystal structure of CrCuBi2S. The functional is GGA-PBE.

abc: 5.169 4.627 5.169
angles: 90.00 90.00 90.00
Sites, in units of the cell vectors:
Cr 0.000 0.000 0.000
S 0.500 0.500 0.500
Bi 0.000 0.000 0.500
Bi 0.500 0.000 0.000
Cu 0.000 0.500 0.000

Values from the calculation:
**Symmetry**: P4/mmm
**Uncorrected formation energy**: 3.80 eV per formula unit
**Crystal system**: tetragonal
**Electronic total energy**: -4.3614 eV/atom
**Volume**: 123.6 Å³/cell

=====

No. 2
This record from Alexandria describes an optimized crystal structure of CrCuSn2Bi. The functional is GGA-PBE.

abc: 5.914 4.740 5.914
angles: 90.00 90.00 90.00
Sites, in units of the cell vectors:
Cr 0.500 0.500 0.500
Bi 0.000 0.000 0.000
Cu 0.000 0.500 0.000
Sn 0.000 0.000 0.500
Sn 0.500 0.000 0.000

Values from the calculation:
**Offset from the most stable computed form**: 0.382 eV per atom
**Symmetry**: P4/mmm
**ΔE_f**: 1644.9 meV per atom
**Crystal system**: tetragonal
**Electronic total energy**: -3.4764 eV/atom
**Volume**: 165.8 Å³/cell

=====

No. 3
This record from Alexandria describes an optimized crystal structure of CrCuSn2Bi. The functional is GGA-PBE.

abc: 5.932 5.177 5.932
angles: 90.00 90.00 90.00
Sites, in units of the cell vectors:
Cr 0.000 0.500 0.000
Bi 0.000 0.000 0.000
Cu 0.500 0.500 0.500
Sn 0.000 0.000 0.500
Sn 0.500 0.000 0.000

Values from the calculation:
**Offset from the most stable computed form**: 0.000 eV per atom
**Symmetry**: P4/mmm
**ΔE_f**: 1262.7 meV per atom
**Crystal system**: tetragonal
**Electronic total energy**: -3.8585 eV/atom
**Volume**: 182.2 Å³/cell

=====

No. 4
This record from Alexandria describes an optimized crystal structure of Ti2CrCuBi. The functional is GGA-PBE.

abc: 5.178 5.178 5.102
angles: 90.00 90.00 90.00
Sites, in units of the cell vectors:
Cr 0.000 0.000 0.500
Bi 0.000 0.000 0.000
Cu 0.500 0.500 0.500
Ti 0.000 0.500 0.000
Ti 0.500 0.000 0.000

Values from the calculation:
**Symmetry**: P4/mmm
**ΔE_f**: 1538.9 meV per atom
**Crystal system**: tetragonal
**Electronic total energy**: -5.1391 eV/atom
**Volume**: 136.8 Å³/cell

=====

No. 5
This record from Alexandria describes an optimized crystal structure of ZrCrCu2Bi. The functional is GGA-PBE.

abc: 4.939 4.736 4.939
angles: 90.00 90.00 90.00
Sites, in units of the cell vectors:
Cr 0.000 0.500 0.000
Cu 0.000 0.000 0.500
Cu 0.500 0.000 0.000
Bi 0.500 0.500 0.500
Zr 0.000 0.000 0.000

Values from the calculation:
**Symmetry**: P4/mmm
**ΔE_f**: 1199.0 meV per atom
**Crystal system**: tetragonal
**Electronic total energy**: -4.8499 eV/atom
**Volume**: 115.5 Å³/cell